Material: CaMnCr
Method: DFT, GGA-PBEsol
State: relaxed

a b c (Å): 4.4691 4.4691 3.3739
angles (deg): 90.00 90.00 120.00
Closest atoms and distances in Å follow each position.
Space group P-6m2 (No. 187)
Asymmetric unit:
1 Ca 0.0000 0.0000 0.0000  6 Cr 3.08, 6 Mn 3.08, 2 Ca 3.37
2 Mn 0.6667 0.3333 0.5000  3 Cr 2.58
3 Cr 0.3333 0.6667 0.5000  3 Mn 2.58

Total magnetic moment: 0.3 μB/f.u.
Energy relative to the elements: 0.820 eV per atom
DFT total energy: -0.2410 hartree per atom
V: 19.45 Å³ per atom